Dy3Bi2As | GGA-PBE | optimized geometry

Cell lengths 4.3657, 4.3657, 18.4907 Å; angles 90.00, 90.00, 90.00 degrees
Last column: nearest neighbours and their distance in Å.
Space group I4/mmm (No. 139)
Asymmetric unit:
Dy: 0.0000 0.0000 0.0000  4 As 3.09, 2 Bi 3.13
Dy: 0.0000 0.0000 0.3445  1 As 2.87, 4 Bi 3.10
Bi: 0.0000 0.0000 0.1695  6 Dy 3.10-3.24
As: 0.0000 0.0000 0.5000  6 Dy 2.87-3.09

* formation enthalpy at 0 K: -1.039 eV per atom
* size of the total moment: 0.000 μB/atom